First-principles (GGA-PBE) data for a geometry-optimized Dy3Er5Th2 structure, as listed in Alexandria.

DFT formation energy   220 meV/atom

abc: 8.9948 8.9906 11.0654
angles: 121.98 121.99 72.33
Closest atoms and distances in Å follow each position.
Sites, in units of the cell vectors:
Er (0.5317, 0.2817, 0.5634)  1 Er 3.19, 4 Th 3.28-3.47, 2 Dy 3.42
Er (0.8740, 0.6192, 0.7436)  2 Th 3.34-3.35, 2 Dy 3.38, 3 Er 3.63-3.71
Dy (0.0226, 0.7721, 0.2519)  1 Th 3.13, 7 Er 3.32-3.46, 1 Dy 3.45
Dy (0.7293, 0.4797, 0.2519)  1 Th 3.13, 7 Er 3.32-3.46, 1 Dy 3.45
Er (0.4683, 0.7183, 0.4366)  1 Er 3.19, 4 Th 3.28-3.47, 2 Dy 3.42
Dy (0.2707, 0.5203, 0.7481)  1 Th 3.13, 7 Er 3.32-3.46, 1 Dy 3.45
Dy (0.7799, 0.0299, 0.0599)  1 Er 3.20, 4 Th 3.28-3.50, 2 Dy 3.45
Er (0.3695, 0.1244, 0.7436)  2 Th 3.34-3.35, 2 Dy 3.38, 3 Er 3.63-3.71
Er (0.1260, 0.3808, 0.2564)  2 Th 3.34-3.35, 2 Dy 3.38, 3 Er 3.63-3.71
Er (0.6305, 0.8756, 0.2564)  2 Th 3.34-3.35, 2 Dy 3.38, 3 Er 3.63-3.71
Er (0.7226, 0.4726, 0.9453)  1 Er 3.19, 4 Dy 3.33-3.46, 2 Th 3.52
Dy (0.9774, 0.2279, 0.7481)  1 Th 3.13, 7 Er 3.32-3.46, 1 Dy 3.45
Er (0.0283, 0.7783, 0.5567)  5 Dy 3.20-3.44, 2 Th 3.50
Er (0.2774, 0.5274, 0.0547)  1 Er 3.19, 4 Dy 3.33-3.46, 2 Th 3.52
Er (0.9717, 0.2217, 0.4433)  5 Dy 3.20-3.44, 2 Th 3.50
Th (0.2381, 0.9880, 0.2519)  3 Dy 3.13-3.50, 5 Er 3.28-3.50
Dy (0.2201, 0.9701, 0.9401)  1 Er 3.20, 4 Th 3.28-3.50, 2 Dy 3.45
Th (0.7619, 0.0120, 0.7481)  3 Dy 3.13-3.50, 5 Er 3.28-3.50
Th (0.4862, 0.7361, 0.7481)  3 Dy 3.13-3.50, 5 Er 3.28-3.50
Th (0.5138, 0.2639, 0.2519)  3 Dy 3.13-3.50, 5 Er 3.28-3.50

First-principles (GGA-PBE) data for a geometry-optimized GaFeAsBr2 structure, as listed in Alexandria.

Raw formation energy   0.639 eV per atom

abc: 5.1281 5.1281 5.0950
angles: 90.00 90.00 90.00
Closest atoms and distances in Å follow each position.
Sites, in units of the cell vectors:
Fe (0.5000, 0.5000, 0.5000)  8 Br 3.61, 4 As 3.63
Ga (0.0000, 0.0000, 0.0000)  2 As 2.55, 4 Br 2.56
Br (0.0000, 0.5000, 0.0000)  2 Ga 2.56
As (0.0000, 0.0000, 0.5000)  2 Ga 2.55
Br (0.5000, 0.0000, 0.0000)  2 Ga 2.56

First-principles (GGA-PBE) data for a geometry-optimized CdBiSb2I structure, as listed in Alexandria.

Raw formation energy   0.640 eV per atom

abc: 5.9420 5.9420 6.2148
angles: 90.00 90.00 90.00
Closest atoms and distances in Å follow each position.
Sites, in units of the cell vectors:
Cd (0.5000, 0.5000, 0.5000)  4 I 4.20, 8 Sb 4.30
Sb (0.0000, 0.5000, 0.0000)  2 Bi 2.97
Sb (0.5000, 0.0000, 0.0000)  2 Bi 2.97
Bi (0.0000, 0.0000, 0.0000)  4 Sb 2.97, 2 I 3.11
I (0.0000, 0.0000, 0.5000)  2 Bi 3.11

First-principles (GGA-PBE) data for a geometry-optimized Tb2TmAu structure, as listed in Alexandria.

DFT formation energy   -385 meV/atom

abc: 4.9154 6.4028 7.8384
angles: 90.00 90.00 112.53
Closest atoms and distances in Å follow each position.
Sites, in units of the cell vectors:
Tb (0.3576, 0.7152, 0.9653)  3 Au 2.88-3.07
Tb (0.6424, 0.2848, 0.0347)  3 Au 2.88-3.07
Tb (0.3576, 0.7152, 0.5347)  3 Au 2.88-3.07
Tm (0.0416, 0.0833, 0.7500)  1 Au 2.90
Au (0.7969, 0.5935, 0.7500)  6 Tb 2.88-3.07, 1 Tm 2.90
Tb (0.6424, 0.2848, 0.4653)  3 Au 2.88-3.07
Au (0.2031, 0.4065, 0.2500)  6 Tb 2.88-3.07, 1 Tm 2.90
Tm (0.9584, 0.9167, 0.2500)  1 Au 2.90